# 1
Below is a relaxed structure of SnHSe2, with properties calculated at the PBE level.

a b c (Å): 3.1451 3.1451 25.9682
angles (deg): 90.00 90.00 120.00
Space group R-3m (No. 166, hexagonal axes)
Unique sites:
Sn 0.0000 0.0000 0.0000 x3
H 0.0000 0.0000 0.5000 x3
Se 0.0000 0.0000 0.1115 x6

Results
- total energy (eV per atom) = -3.04



# 2
Below is a relaxed structure of Pm2Ho4Sc5, with properties calculated at the PBE level.

a b c (Å): 8.5485 3.4408 11.6101
angles (deg): 90.00 109.78 90.00
Space group P2/m (No. 10)
Unique sites:
Pm 0.1295 0.0000 0.4043 x2
Ho 0.2545 0.5000 0.7306 x2
Ho 0.2637 0.5000 0.1510 x2
Sc 0.0881 0.0000 0.8997 x2
Sc 0.4946 0.0000 0.6251 x2
Sc 0.5000 0.0000 0.0000 x1

Results
- ΔE_f (meV per atom) = 137



# 3
Below is a relaxed structure of U4AgSe8, with properties calculated at the PBE level.

a b c (Å): 13.2141 8.2439 9.6992
angles (deg): 90.00 132.69 90.00
Space group C2/m (No. 12)
Unique sites:
U 0.0000 0.2473 0.0000 x4
U 0.2412 0.0000 0.4982 x4
Ag 0.0000 0.5000 0.5000 x2
Se 0.0279 0.5000 0.8259 x4
Se 0.0388 0.0000 0.8377 x4
Se 0.2141 0.2583 0.6668 x8

Results
- formation energy from raw total energies (eV per atom) = -1.02



# 4
Below is a relaxed structure of YHo3In4Te8, with properties calculated at the PBE level.

a b c (Å): 8.8056 8.8056 24.3196
angles (deg): 90.00 90.00 120.00
Space group R-3m (No. 166, hexagonal axes)
Unique sites:
Y 0.0000 0.0000 0.0000 x3
Ho 0.0000 0.5000 0.0000 x9
In 0.0000 0.0000 0.5000 x3
In 0.0000 0.5000 0.5000 x9
Te 0.0000 0.0000 0.2608 x6
Te 0.0012 0.5006 0.2605 x18

Results
- formation energy from raw total energies (eV per atom) = -0.97



# 5
Below is a relaxed structure of Cd3Si, with properties calculated at the PBE level.

a b c (Å): 6.9161 8.9377 5.7136
angles (deg): 90.00 90.00 90.00
Space group Pnma (No. 62)
Unique sites:
Cd 0.0220 0.2500 0.0585 x4
Cd 0.1783 0.5377 0.3207 x8
Si 0.1161 0.2500 0.5307 x4

Results
- formation energy from raw total energies (eV per atom) = 0.23



# 6
Below is a relaxed structure of AcHoMgTl, with properties calculated at the PBE level.

a b c (Å): 7.9205 7.9205 7.9205
angles (deg): 90.00 90.00 90.00
Space group F-43m (No. 216)
Unique sites:
Ac 0.0000 0.0000 0.0000 x4
Ho 0.0000 0.0000 0.5000 x4
Mg 0.2500 0.2500 0.2500 x4
Tl 0.2500 0.2500 0.7500 x4

Results
- ΔE_f (meV per atom) = -187



# 7
Below is a relaxed structure of NaSmTiO4, with properties calculated at the PBE level.

a b c (Å): 3.7860 3.7860 12.3209
angles (deg): 90.00 90.00 90.00
Space group I4mm (No. 107)
Unique sites:
Na 0.0000 0.0000 0.0000 x2
Sm 0.0000 0.0000 0.7030 x2
Ti 0.0000 0.0000 0.3648 x2
O 0.0000 0.0000 0.1809 x2
O 0.0000 0.0000 0.5136 x2
O 0.0000 0.5000 0.3371 x4

Results
- formation energy from raw total energies (eV per atom) = -2.90



# 8
Below is a relaxed structure of Y2OsI, with properties calculated at the PBE level.

a b c (Å): 3.4865 3.4865 8.4456
angles (deg): 90.00 90.00 90.00
Space group P4/mmm (No. 123)
Unique sites:
Y 0.0000 0.0000 0.1969 x2
Os 0.5000 0.5000 0.0000 x1
I 0.5000 0.5000 0.5000 x1

Results
- formation energy from raw total energies (eV per atom) = -0.45



| no. | volume (Å³/atom) |
| --- | --- |
| 1 | 18.54 |
| 2 | 29.21 |
| 3 | 29.87 |
| 4 | 34.02 |
| 5 | 22.07 |
| 6 | 31.06 |
| 7 | 12.61 |
| 8 | 25.67 |